No. 1
Computed, not measured: a geometry-optimized LiDy2ThIn4 structure at the GGA-PBE level of DFT.

Unit cell a=9.3810 b=9.3810 c=9.3810 alpha=32.38 beta=32.38 gamma=32.38
Sites, in units of the cell vectors:
Li (0.0000, 0.0000, 0.0000)
Dy (0.2530, 0.2530, 0.2530)
Dy (0.7470, 0.7470, 0.7470)
Th (0.5000, 0.5000, 0.5000)
In (0.1198, 0.1198, 0.1198)
In (0.3710, 0.3710, 0.3710)
In (0.6290, 0.6290, 0.6290)
In (0.8802, 0.8802, 0.8802)

Summary:
Calculated density ... 8.07 Mg/m³
Size of the total moment ... 0.0000 μB/atom

=====

No. 2
Computed, not measured: a geometry-optimized PmY6Er12 structure at the GGA-PBE level of DFT.

Unit cell a=9.3339 b=9.3339 c=9.3339 alpha=108.51 beta=108.51 gamma=108.51
Sites, in units of the cell vectors:
Pm (0.0000, 0.0000, 0.0000)
Y (0.2502, 0.6771, 0.6771)
Y (0.3229, 0.3229, 0.7498)
Y (0.3229, 0.7498, 0.3229)
Y (0.6771, 0.2502, 0.6771)
Y (0.6771, 0.6771, 0.2502)
Y (0.7498, 0.3229, 0.3229)
Er (0.1083, 0.5000, 0.8917)
Er (0.1083, 0.8917, 0.5000)
Er (0.1534, 0.3647, 0.3647)
Er (0.3647, 0.1534, 0.3647)
Er (0.3647, 0.3647, 0.1534)
Er (0.5000, 0.1083, 0.8917)
Er (0.5000, 0.8917, 0.1083)
Er (0.6353, 0.6353, 0.8466)
Er (0.6353, 0.8466, 0.6353)
Er (0.8466, 0.6353, 0.6353)
Er (0.8917, 0.1083, 0.5000)
Er (0.8917, 0.5000, 0.1083)

Summary:
Calculated density ... 6.89 Mg/m³
Size of the total moment ... 0.0000 μB/atom

=====

No. 3
Computed, not measured: a geometry-optimized CdBi3Pb12 structure at the GGA-PBE level of DFT.

Unit cell a=6.0189 b=6.0189 c=13.8995 alpha=90.00 beta=90.00 gamma=90.00
Sites, in units of the cell vectors:
Cd (0.0000, 0.0000, 0.0000)
Bi (0.0000, 0.0000, 0.2375)
Bi (0.0000, 0.0000, 0.5000)
Bi (0.0000, 0.0000, 0.7625)
Pb (0.0000, 0.5000, 0.1229)
Pb (0.0000, 0.5000, 0.3732)
Pb (0.0000, 0.5000, 0.6268)
Pb (0.0000, 0.5000, 0.8771)
Pb (0.5000, 0.0000, 0.1229)
Pb (0.5000, 0.0000, 0.3732)
Pb (0.5000, 0.0000, 0.6268)
Pb (0.5000, 0.0000, 0.8771)
Pb (0.5000, 0.5000, 0.0000)
Pb (0.5000, 0.5000, 0.2508)
Pb (0.5000, 0.5000, 0.5000)
Pb (0.5000, 0.5000, 0.7492)

Summary:
Calculated density ... 10.64 Mg/m³
Size of the total moment ... 0.0000 μB/atom

=====

No. 4
Computed, not measured: a geometry-optimized AcAlCdAg3 structure at the GGA-PBE level of DFT.

Unit cell a=7.3546 b=7.3546 c=6.5181 alpha=90.00 beta=90.00 gamma=123.33
Sites, in units of the cell vectors:
Ac (0.2080, 0.7920, 0.7500)
Ac (0.7920, 0.2080, 0.2500)
Al (0.1258, 0.8742, 0.2500)
Al (0.8742, 0.1258, 0.7500)
Cd (0.4556, 0.5444, 0.7500)
Cd (0.5444, 0.4556, 0.2500)
Ag (0.1968, 0.1968, 0.0000)
Ag (0.1968, 0.1968, 0.5000)
Ag (0.3264, 0.6736, 0.2500)
Ag (0.6736, 0.3264, 0.7500)
Ag (0.8032, 0.8032, 0.0000)
Ag (0.8032, 0.8032, 0.5000)

Summary:
Calculated density ... 7.78 Mg/m³
Size of the total moment ... 0.0000 μB/atom

=====

No. 5
Computed, not measured: a geometry-optimized Tl3TePd4 structure at the GGA-PBE level of DFT.

Unit cell a=6.5574 b=6.5574 c=6.5574 alpha=129.30 beta=82.99 gamma=119.25
Sites, in units of the cell vectors:
Tl (0.0000, 0.0000, 0.0000)
Tl (0.4133, 0.6917, 0.7216)
Tl (0.9701, 0.6917, 0.2784)
Te (0.7416, 0.2416, 0.5000)
Pd (0.0318, 0.2629, 0.7689)
Pd (0.4049, 0.1596, 0.7547)
Pd (0.4049, 0.6502, 0.2453)
Pd (0.4940, 0.2629, 0.2311)

Summary:
Calculated density ... 10.59 Mg/m³
Size of the total moment ... 0.0000 μB/atom
E_form (uncorrected) ... -0.85 eV per formula unit

=====

No. 6
Computed, not measured: a geometry-optimized Ag2AsRu structure at the GGA-PBE level of DFT.

Unit cell a=5.4327 b=5.4327 c=5.4327 alpha=139.32 beta=139.32 gamma=58.89
Sites, in units of the cell vectors:
Ag (0.2500, 0.7500, 0.5000)
Ag (0.7500, 0.2500, 0.5000)
As (0.0000, 0.0000, 0.0000)
Ru (0.5000, 0.5000, 0.0000)

Summary:
Calculated density ... 9.64 Mg/m³
Size of the total moment ... 0.2026 μB/atom

=====

No. 7
Computed, not measured: a geometry-optimized Tm8Ge3Te4Pt structure at the GGA-PBE level of DFT.

Unit cell a=8.5251 b=8.5251 c=8.5251 alpha=58.64 beta=58.64 gamma=58.64
Sites, in units of the cell vectors:
Tm (0.2389, 0.7386, 0.7386)
Tm (0.2397, 0.2397, 0.2397)
Tm (0.2614, 0.2614, 0.7611)
Tm (0.2614, 0.7611, 0.2614)
Tm (0.7386, 0.2389, 0.7386)
Tm (0.7386, 0.7386, 0.2389)
Tm (0.7603, 0.7603, 0.7603)
Tm (0.7611, 0.2614, 0.2614)
Ge (0.0000, 0.0000, 0.5000)
Ge (0.0000, 0.5000, 0.0000)
Ge (0.5000, 0.0000, 0.0000)
Te (0.0000, 0.0000, 0.0000)
Te (0.0000, 0.5000, 0.5000)
Te (0.5000, 0.0000, 0.5000)
Te (0.5000, 0.5000, 0.0000)
Pt (0.5000, 0.5000, 0.5000)

Summary:
Calculated density ... 8.90 Mg/m³
Size of the total moment ... 0.0000 μB/atom
E_form (uncorrected) ... -18.29 eV per formula unit

=====

No. 8
Computed, not measured: a geometry-optimized NdAlZnAu structure at the GGA-PBE level of DFT.

Unit cell a=4.8893 b=4.8893 c=4.8893 alpha=60.00 beta=60.00 gamma=60.00
Sites, in units of the cell vectors:
Nd (0.0000, 0.0000, 0.0000)
Al (0.5000, 0.5000, 0.5000)
Zn (0.7500, 0.7500, 0.7500)
Au (0.2500, 0.2500, 0.2500)

Summary:
Calculated density ... 8.71 Mg/m³
Size of the total moment ... 0.0000 μB/atom

=====

| no. | total DFT energy (no corrections) (eV/atom) |
| --- | --- |
| 1 | -4.0407 |
| 2 | -4.7194 |
| 3 | -3.5355 |
| 4 | -2.9553 |
| 5 | -3.9833 |
| 6 | -4.5042 |
| 7 | -5.4074 |
| 8 | -3.7555 |